Computed, not measured: an optimized crystal structure of Al2CdSe4 at the GGA-PBEsol level of DFT.

```
Al2CdSe4
1.0
0.000 5.409 5.409
5.409 0.000 5.409
5.409 5.409 0.000
Al Cd Se
4 2 8
direct
0.000 0.000 0.000 Al
0.000 0.000 0.500 Al
0.000 0.500 0.000 Al
0.500 0.000 0.000 Al
0.375 0.375 0.375 Cd
0.625 0.625 0.625 Cd
0.210 0.763 0.763 Se
0.237 0.237 0.237 Se
0.237 0.237 0.790 Se
0.237 0.790 0.237 Se
0.763 0.210 0.763 Se
0.763 0.763 0.210 Se
0.763 0.763 0.763 Se
0.790 0.237 0.237 Se
```

Summary:
Raw total energy ... -4.3129 eV/atom
Density ... 5.1 Mg/m³
Energy relative to the elements, uncorrected ... -0.773 eV per atom


Computed, not measured: an optimized crystal structure of TiSbO2 at the GGA-PBEsol level of DFT.

```
TiSbO2
1.0
1.561 0.901 7.048
-1.561 0.901 7.048
0.000 -1.802 7.048
Ti Sb O
1 1 2
direct
0.000 0.000 0.000 Ti
0.500 0.500 0.500 Sb
0.087 0.087 0.087 O
0.913 0.913 0.913 O
```

Summary:
Raw total energy ... -6.8524 eV/atom
Density ... 5.6 Mg/m³
Energy relative to the elements, uncorrected ... -1.008 eV per atom


Computed, not measured: an optimized crystal structure of ZnRe2Ag at the GGA-PBEsol level of DFT.

```
ZnRe2Ag
1.0
4.461 -1.349 0.000
4.461 1.349 0.000
-0.609 0.000 4.922
Zn Re Ag
1 2 1
direct
0.000 0.000 0.000 Zn
0.497 0.497 0.486 Re
0.747 0.747 0.296 Re
0.249 0.249 0.798 Ag
```

Summary:
Calculated formation energy ... 0.38 eV per atom
Raw total energy ... -7.5128 eV/atom
Density ... 15.3 Mg/m³


Computed, not measured: an optimized crystal structure of CoSiSe2 at the GGA-PBEsol level of DFT.

```
CoSiSe2
1.0
0.000 3.130 3.130
3.130 0.000 3.130
3.130 3.130 0.000
Co Si Se
1 1 2
direct
0.000 0.000 0.000 Co
0.250 0.250 0.250 Si
0.500 0.500 0.500 Se
0.750 0.750 0.750 Se
```

Summary:
Raw total energy ... -4.7084 eV/atom
Density ... 6.6 Mg/m³
Energy relative to the elements, uncorrected ... 0.588 eV per atom


Computed, not measured: an optimized crystal structure of Sc5Ga3 at the GGA-PBEsol level of DFT.

```
Sc5Ga3
1.0
8.007 0.000 0.000
-4.003 6.934 0.000
0.000 0.000 5.849
Sc Ga
10 6
direct
0.000 0.241 0.250 Sc
0.000 0.759 0.750 Sc
0.241 0.000 0.250 Sc
0.241 0.241 0.750 Sc
0.333 0.667 0.000 Sc
0.333 0.667 0.500 Sc
0.667 0.333 0.000 Sc
0.667 0.333 0.500 Sc
0.759 0.000 0.750 Sc
0.759 0.759 0.250 Sc
0.000 0.400 0.750 Ga
0.000 0.600 0.250 Ga
0.400 0.000 0.750 Ga
0.400 0.400 0.250 Ga
0.600 0.000 0.250 Ga
0.600 0.600 0.750 Ga
```

Summary:
Calculated formation energy ... -0.55 eV per atom
Raw total energy ... -5.9293 eV/atom
Density ... 4.4 Mg/m³


Computed, not measured: an optimized crystal structure of CoCuP2 at the GGA-PBEsol level of DFT.

```
CoCuP2
1.0
2.663 0.000 0.000
0.000 3.610 0.000
0.000 0.000 4.939
Co Cu P
1 1 2
direct
0.000 0.000 0.000 Co
0.500 0.500 0.337 Cu
0.000 0.000 0.491 P
0.500 0.500 0.868 P
```

Summary:
Calculated formation energy ... -0.02 eV per atom
Raw total energy ... -5.9367 eV/atom
Density ... 6.5 Mg/m³


Please write out number 3 again, unchanged.
Computed, not measured: an optimized crystal structure of ZnRe2Ag at the GGA-PBEsol level of DFT.

```
ZnRe2Ag
1.0
4.461 -1.349 0.000
4.461 1.349 0.000
-0.609 0.000 4.922
Zn Re Ag
1 2 1
direct
0.000 0.000 0.000 Zn
0.497 0.497 0.486 Re
0.747 0.747 0.296 Re
0.249 0.249 0.798 Ag
```

Summary:
Calculated formation energy ... 0.38 eV per atom
Raw total energy ... -7.5128 eV/atom
Density ... 15.3 Mg/m³


- Among the records above, which one has the highest raw total energy?
  Al2CdSe4


- What is the formula in the sixth record?
  CoCuP2